Record 1
A plane-wave DFT calculation with GGA-PBE was carried out for a relaxed structure of CdWSe2.

Total moment = 0.00 μB per formula unit
DFT total energy = -21.550 eV for the cell shown
DOS at the Fermi energy = 2.30 states/eV per cell
Raw formation energy = -0.1781 eV/atom

a = 10.1463 Å, b = 10.1463 Å, c = 10.1463 Å
α = 18.45°, β = 18.45°, γ = 18.45°
Last column: nearest neighbours and their distance in Å.
Fractional coordinates of all 4 atoms:
1 W 0.2500 0.2500 0.2500  6 Se 2.57
2 Se 0.9752 0.9752 0.9752  3 W 2.57
3 Se 0.5248 0.5248 0.5248  3 W 2.57
4 Cd 0.7500 0.7500 0.7500  6 Cd 3.25

---

Record 2
A plane-wave DFT calculation with GGA-PBE was carried out for a relaxed structure of CaMgGeO4.

Energy above the lowest structure with this stoichiometry = 0.000 eV/atom
Total moment = 0.00 μB per formula unit
DFT total energy = -181.466 eV for the cell shown
DOS at the Fermi energy = 0.00 states/eV per cell
Raw formation energy = -2.4743 eV/atom

a = 5.0522 Å, b = 6.4448 Å, c = 11.3786 Å
α = 90.00°, β = 90.00°, γ = 90.00°
Last column: nearest neighbours and their distance in Å.
Fractional coordinates of all 28 atoms:
1 O 0.2443 0.2500 0.9426  1 Ge 1.81
2 O 0.7360 0.9680 0.8519  1 Ge 1.79
3 O 0.7640 0.5320 0.3519  1 Ge 1.79
4 O 0.2695 0.7500 0.4203  1 Ge 1.76
5 O 0.7305 0.2500 0.5797  1 Ge 1.76
6 O 0.2360 0.0320 0.6481  1 Ge 1.79
7 O 0.7557 0.7500 0.0574  1 Ge 1.81
8 O 0.2557 0.2500 0.4426  1 Ge 1.81
9 O 0.7443 0.7500 0.5574  1 Ge 1.81
10 O 0.7695 0.2500 0.0797  1 Ge 1.76
11 O 0.2640 0.0320 0.1481  1 Ge 1.79
12 O 0.2360 0.4680 0.6481  1 Ge 1.79
13 O 0.2640 0.4680 0.1481  1 Ge 1.79
14 O 0.2305 0.7500 0.9203  1 Ge 1.76
15 O 0.7640 0.9680 0.3519  1 Ge 1.79
16 O 0.7360 0.5320 0.8519  1 Ge 1.79
17 Mg 0.0000 0.0000 0.0000  6 O 2.13-2.19
18 Mg 0.5000 0.0000 0.5000  6 O 2.13-2.19
19 Mg 0.5000 0.5000 0.5000  6 O 2.13-2.19
20 Mg 0.0000 0.5000 0.0000  6 O 2.13-2.19
21 Ge 0.0782 0.2500 0.5803  4 O 1.76-1.81
22 Ge 0.5782 0.7500 0.9197  4 O 1.76-1.81
23 Ge 0.4218 0.2500 0.0803  4 O 1.76-1.81
24 Ge 0.9218 0.7500 0.4197  4 O 1.76-1.81
25 Ca 0.5113 0.2500 0.7751  6 O 2.31-2.48
26 Ca 0.4887 0.7500 0.2249  6 O 2.31-2.48
27 Ca 0.9887 0.2500 0.2751  6 O 2.31-2.48
28 Ca 0.0113 0.7500 0.7249  6 O 2.31-2.48

---

Record 3
A plane-wave DFT calculation with GGA-PBE was carried out for a relaxed structure of Sr2CaPtBr.

Total moment = 0.00 μB per formula unit
DFT total energy = -14.563 eV for the cell shown
DOS at the Fermi energy = 2.20 states/eV per cell
Raw formation energy = -0.2967 eV/atom

a = 5.6161 Å, b = 7.0352 Å, c = 5.6161 Å
α = 90.00°, β = 90.00°, γ = 90.00°
Last column: nearest neighbours and their distance in Å.
Fractional coordinates of all 5 atoms:
1 Sr 0.0000 0.0000 0.5000  2 Pt 2.81
2 Sr 0.5000 0.0000 0.0000  2 Pt 2.81
3 Pt 0.0000 0.0000 0.0000  4 Sr 2.81
4 Ca 0.5000 0.5000 0.5000  4 Br 3.97
5 Br 0.0000 0.5000 0.0000  2 Pt 3.52